(1)
## ScTa2B6 (PBE)

Data for crystalline ScTa2B6 at its relaxed geometry.

```
ScTa2B6
1.0
5.379 0.000 0.000
-2.690 4.658 0.000
0.000 0.000 3.356
Sc Ta B
1 2 6
Direct
0.000 0.000 0.000
0.333 0.667 0.000
0.667 0.333 0.000
0.000 0.334 0.500
0.000 0.666 0.500
0.334 0.000 0.500
0.334 0.334 0.500
0.666 0.000 0.500
0.666 0.666 0.500
```

## Properties
**N(E_F)**: 1.64 states/eV/cell
**Offset from the most stable computed form**: 0.0 meV per atom
**Magnetic moment**: 0.00 μB/cell
**Volume**: 9.3 A^3/atom
**E_form**: -0.84 eV per atom



(2)
## Sc2TaTc5B2 (PBE)

Data for crystalline Sc2TaTc5B2 at its relaxed geometry.

```
Sc2TaTc5B2
1.0
9.505 0.000 0.000
0.000 9.505 0.000
0.000 0.000 3.166
Sc Ta Tc B
4 2 10 4
Direct
0.177 0.323 0.000
0.323 0.823 0.000
0.677 0.177 0.000
0.823 0.677 0.000
0.000 0.000 0.000
0.500 0.500 0.000
0.000 0.500 0.500
0.067 0.783 0.500
0.217 0.067 0.500
0.283 0.567 0.500
0.433 0.283 0.500
0.500 0.000 0.500
0.567 0.717 0.500
0.717 0.433 0.500
0.783 0.933 0.500
0.933 0.217 0.500
0.124 0.624 0.000
0.376 0.124 0.000
0.624 0.876 0.000
0.876 0.376 0.000
```

## Properties
**N(E_F)**: 25.62 states/eV/cell
**Magnetic moment**: 0.00 μB/cell
**Volume**: 14.3 A^3/atom
**E_form**: -0.32 eV per atom



(3)
## TbSc2B6 (PBE)

Data for crystalline TbSc2B6 at its relaxed geometry.

```
TbSc2B6
1.0
-1.676 3.761 4.208
1.676 -3.761 4.208
1.676 3.761 -4.208
Tb Sc B
1 2 6
Direct
0.000 0.000 0.000
0.333 0.833 0.500
0.667 0.167 0.500
0.074 0.306 0.767
0.377 0.500 0.877
0.461 0.694 0.767
0.539 0.306 0.233
0.623 0.500 0.123
0.926 0.694 0.233
```

## Properties
**N(E_F)**: 2.99 states/eV/cell
**Offset from the most stable computed form**: 369.0 meV per atom
**Magnetic moment**: 0.00 μB/cell
**Volume**: 11.8 A^3/atom
**E_form**: -0.33 eV per atom



(4)
## TbScB4 (PBE)

Data for crystalline TbScB4 at its relaxed geometry.

```
TbScB4
1.0
6.126 0.000 0.000
0.000 11.937 0.000
0.000 0.000 3.764
Tb Sc B
4 4 16
Direct
0.134 0.152 0.000
0.366 0.652 0.000
0.634 0.348 0.000
0.866 0.848 0.000
0.140 0.412 0.000
0.360 0.912 0.000
0.640 0.088 0.000
0.860 0.588 0.000
0.025 0.694 0.500
0.115 0.548 0.500
0.129 0.971 0.500
0.203 0.812 0.500
0.297 0.312 0.500
0.371 0.471 0.500
0.385 0.048 0.500
0.475 0.194 0.500
0.525 0.806 0.500
0.615 0.952 0.500
0.629 0.529 0.500
0.703 0.688 0.500
0.797 0.188 0.500
0.871 0.029 0.500
0.885 0.452 0.500
0.975 0.306 0.500
```

## Properties
**N(E_F)**: 8.36 states/eV/cell
**Magnetic moment**: 0.00 μB/cell
**Volume**: 11.5 A^3/atom
**E_form**: -0.55 eV per atom



(5)
## TbSc2B6 (PBE)

Data for crystalline TbSc2B6 at its relaxed geometry.

```
TbSc2B6
1.0
5.540 0.000 0.000
-2.770 4.798 0.000
0.000 0.000 3.680
Tb Sc B
1 2 6
Direct
0.000 0.000 0.000
0.333 0.667 0.000
0.667 0.333 0.000
0.000 0.339 0.500
0.000 0.661 0.500
0.339 0.000 0.500
0.339 0.339 0.500
0.661 0.000 0.500
0.661 0.661 0.500
```

## Properties
**N(E_F)**: 2.99 states/eV/cell
**Offset from the most stable computed form**: 0.0 meV per atom
**Magnetic moment**: 0.00 μB/cell
**Volume**: 10.9 A^3/atom
**E_form**: -0.70 eV per atom



(6)
## Sc3TcB7 (PBE)

Data for crystalline Sc3TcB7 at its relaxed geometry.

```
Sc3TcB7
1.0
1.689 -7.471 0.000
1.689 7.471 0.000
0.000 0.000 9.031
Sc Tc B
6 2 14
Direct
0.106 0.894 0.557
0.106 0.894 0.943
0.244 0.756 0.250
0.756 0.244 0.750
0.894 0.106 0.057
0.894 0.106 0.443
0.051 0.949 0.250
0.949 0.051 0.750
0.272 0.728 0.532
0.272 0.728 0.968
0.366 0.634 0.649
0.366 0.634 0.851
0.446 0.554 0.250
0.483 0.517 0.593
0.483 0.517 0.907
0.517 0.483 0.093
0.517 0.483 0.407
0.554 0.446 0.750
0.634 0.366 0.149
0.634 0.366 0.351
0.728 0.272 0.032
0.728 0.272 0.468
```

## Properties
**N(E_F)**: 6.88 states/eV/cell
**Magnetic moment**: 0.00 μB/cell
**Volume**: 10.4 A^3/atom
**E_form**: -0.76 eV per atom